First-principles (PBE-GGA) data for a relaxed BaReNi crystal, as listed in Alexandria.

Computed properties:
As for the formation energy from the elements: 2263 meV/atom. As for the calculated volume: 313.7 Å³/cell. For the calculated density, the calculation gives 8.092 g/cm³. The density of states at the Fermi level comes out at 2.03 states/eV/f.u.

Cell: 6.7950 6.7950 6.7950 Å, 90.00 90.00 90.00°
Last column: nearest neighbours and their distance in Å.
Space group F-43m (No. 216)
Symmetry-distinct sites (fractional):
Ba 0.0000 0.0000 0.0000 (multiplicity 4)  4 Re 2.94, 4 Ni 2.94
Re 0.2500 0.2500 0.7500 (multiplicity 4)  4 Ba 2.94
Ni 0.2500 0.2500 0.2500 (multiplicity 4)  4 Ba 2.94


First-principles (PBE-GGA) data for a relaxed DyGaCu2 crystal, as listed in Alexandria.

Computed properties:
As for the formation energy from the elements: -355 meV/atom. As for the calculated volume: 277.0 Å³/cell. For the calculated density, the calculation gives 8.617 g/cm³. The density of states at the Fermi level comes out at 2.43 states/eV/f.u.

Cell: 7.9564 6.5017 5.3538 Å, 90.00 90.00 90.00°
Last column: nearest neighbours and their distance in Å.
Space group Pnma (No. 62)
Symmetry-distinct sites (fractional):
Dy 0.0571 0.2500 0.1501 (multiplicity 4)  6 Cu 2.89-3.01, 3 Ga 2.98-3.12
Ga 0.1063 0.7500 0.3501 (multiplicity 4)  6 Cu 2.47-2.61
Cu 0.1797 0.0550 0.6156 (multiplicity 8)  3 Ga 2.47-2.61, 1 Cu 2.54